This record from the Alexandria database describes an optimized crystal structure of NaZn4Cd8. The functional is PBE.

E, eV/atom: -1.064
M_tot, μB per atom: 0.0000
V, Å³ per atom: 20.8
SG: I4/mmm (139)
Calculated formation energy, eV/atom: -0.007

The structure in POSCAR format:
```
NaZn4Cd8
1.0
-5.064 5.064 2.636
5.064 -5.064 2.636
5.064 5.064 -2.636
Na Zn Cd
1 4 8
Direct
0.000 0.000 0.000
0.000 0.000 0.500
0.000 0.500 0.000
0.500 0.000 0.000
0.500 0.500 0.500
0.000 0.348 0.348
0.000 0.652 0.652
0.291 0.500 0.791
0.348 0.000 0.348
0.500 0.291 0.791
0.500 0.709 0.209
0.652 0.000 0.652
0.709 0.500 0.209
```

This record from the Alexandria database describes an optimized crystal structure of Na12ZnCd2. The functional is PBE.

E, eV/atom: -1.148
M_tot, μB per atom: 0.0000
V, Å³ per atom: 36.2
SG: P4/nbm (125)
Calculated formation energy, eV/atom: 0.114

The structure in POSCAR format:
```
Na12ZnCd2
1.0
6.707 0.000 0.000
0.000 6.707 0.000
0.000 0.000 24.149
Na Zn Cd
24 2 4
Direct
0.000 0.000 0.080
0.000 0.000 0.920
0.000 0.500 0.080
0.000 0.500 0.920
0.070 0.570 0.433
0.070 0.930 0.567
0.250 0.250 0.189
0.250 0.250 0.320
0.250 0.250 0.680
0.250 0.250 0.811
0.430 0.570 0.567
0.430 0.930 0.433
0.500 0.000 0.080
0.500 0.000 0.920
0.500 0.500 0.080
0.500 0.500 0.920
0.570 0.070 0.567
0.570 0.430 0.433
0.750 0.750 0.189
0.750 0.750 0.320
0.750 0.750 0.680
0.750 0.750 0.811
0.930 0.070 0.433
0.930 0.430 0.567
0.250 0.750 0.000
0.750 0.250 0.000
0.250 0.750 0.188
0.250 0.750 0.812
0.750 0.250 0.188
0.750 0.250 0.812
```